Record 1
# AlCrH2 | Alexandria | PBE-GGA | optimized geometry
data_AlCrH2
_space_group_name_H-M_alt 'P 1'
_space_group_IT_number 1
_space_group_name_Hall 'P 1'
_cell_length_a 2.8881
_cell_length_b 2.8881
_cell_length_c 5.0291
_cell_angle_alpha 73.31
_cell_angle_beta 73.31
_cell_angle_gamma 60.00
loop_
_atom_site_label
_atom_site_fract_x
_atom_site_fract_y
_atom_site_fract_z
Cr1 0.5000 0.5000 0.5000
Al1 0.0000 0.0000 0.0000
H1 0.1301 0.1301 0.6098
H2 0.8699 0.8699 0.3902
# - symmetry = R-3m, No. 166
# - spin magnetization (μB per cell) = 1.8
# - uncorrected energy (eV/atom) = -4.91

Record 2
# AlCrH2 | Alexandria | PBE-GGA | optimized geometry
data_AlCrH2
_space_group_name_H-M_alt 'P 1'
_space_group_IT_number 1
_space_group_name_Hall 'P 1'
_cell_length_a 3.6570
_cell_length_b 3.6570
_cell_length_c 3.6570
_cell_angle_alpha 60.00
_cell_angle_beta 60.00
_cell_angle_gamma 60.00
loop_
_atom_site_label
_atom_site_fract_x
_atom_site_fract_y
_atom_site_fract_z
Cr1 0.5000 0.5000 0.5000
Al1 0.0000 0.0000 0.0000
H1 0.2500 0.2500 0.2500
H2 0.7500 0.7500 0.7500
# - symmetry = Fm-3m, No. 225
# - spin magnetization (μB per cell) = 2.5
# - uncorrected energy (eV/atom) = -4.41

Record 3
# AlCrH | Alexandria | PBE-GGA | optimized geometry
data_AlCrH
_space_group_name_H-M_alt 'P 1'
_space_group_IT_number 1
_space_group_name_Hall 'P 1'
_cell_length_a 6.2483
_cell_length_b 2.9420
_cell_length_c 8.3430
_cell_angle_alpha 90.00
_cell_angle_beta 128.34
_cell_angle_gamma 90.00
loop_
_atom_site_label
_atom_site_fract_x
_atom_site_fract_y
_atom_site_fract_z
Al1 0.8544 0.0000 0.5776
Al2 0.1456 0.0000 0.4224
Al3 0.8544 0.5000 0.0776
Al4 0.1456 0.5000 0.9224
Cr1 0.5982 0.0000 0.1703
Cr2 0.4018 0.0000 0.8297
Cr3 0.5982 0.5000 0.6703
Cr4 0.4018 0.5000 0.3297
H1 0.3205 0.0000 0.1855
H2 0.6795 0.0000 0.8145
H3 0.3205 0.5000 0.6855
H4 0.6795 0.5000 0.3145
# - symmetry = C2/m, No. 12
# - spin magnetization (μB per cell) = 0.0
# - uncorrected energy (eV/atom) = -5.61

Record 4
# AlCrH | Alexandria | PBE-GGA | optimized geometry
data_AlCrH
_space_group_name_H-M_alt 'P 1'
_space_group_IT_number 1
_space_group_name_Hall 'P 1'
_cell_length_a 6.3523
_cell_length_b 2.8309
_cell_length_c 8.7553
_cell_angle_alpha 90.00
_cell_angle_beta 130.40
_cell_angle_gamma 90.00
loop_
_atom_site_label
_atom_site_fract_x
_atom_site_fract_y
_atom_site_fract_z
Al1 0.0496 0.0000 0.7547
Al2 0.0496 0.5000 0.2547
Al3 0.8010 0.0000 0.8955
Al4 0.8010 0.5000 0.3955
Cr1 0.2902 0.0000 0.5854
Cr2 0.2902 0.5000 0.0854
Cr3 0.5151 0.0000 0.4593
Cr4 0.5151 0.5000 0.9593
H1 0.4983 0.0000 0.0871
H2 0.4983 0.5000 0.5871
H3 0.2634 0.0000 0.1925
H4 0.2634 0.5000 0.6925
# - symmetry = Cm, No. 8
# - spin magnetization (μB per cell) = 0.3
# - uncorrected energy (eV/atom) = -5.54

Record 5
# Al2CrH5 | Alexandria | PBE-GGA | optimized geometry
data_Al2CrH5
_space_group_name_H-M_alt 'P 1'
_space_group_IT_number 1
_space_group_name_Hall 'P 1'
_cell_length_a 4.4292
_cell_length_b 4.3698
_cell_length_c 4.2013
_cell_angle_alpha 62.20
_cell_angle_beta 60.77
_cell_angle_gamma 86.45
loop_
_atom_site_label
_atom_site_fract_x
_atom_site_fract_y
_atom_site_fract_z
Al1 0.2926 0.8041 0.4216
Al2 0.8044 0.2927 0.4260
Cr1 0.9708 0.9708 0.0014
H1 0.7020 0.2471 0.9550
H2 0.3191 0.3189 0.6526
H3 0.7070 0.7333 0.5013
H4 0.2474 0.7023 0.0405
H5 0.7338 0.7076 0.0016
# - symmetry = C2, No. 5
# - spin magnetization (μB per cell) = 0.0
# - uncorrected energy (eV/atom) = -4.23

Record 6
# AlCrH | Alexandria | PBE-GGA | optimized geometry
data_AlCrH
_space_group_name_H-M_alt 'P 1'
_space_group_IT_number 1
_space_group_name_Hall 'P 1'
_cell_length_a 4.6025
_cell_length_b 4.5542
_cell_length_c 4.5545
_cell_angle_alpha 129.34
_cell_angle_beta 75.82
_cell_angle_gamma 127.25
loop_
_atom_site_label
_atom_site_fract_x
_atom_site_fract_y
_atom_site_fract_z
Cr1 0.4188 0.2610 0.6572
Cr2 0.5812 0.7390 0.3428
Al1 0.1349 0.7481 0.8872
Al2 0.8651 0.2519 0.1128
H1 0.7711 0.6886 0.5829
H2 0.2289 0.3114 0.4171
# - symmetry = P-1, No. 2
# - spin magnetization (μB per cell) = 0.0
# - uncorrected energy (eV/atom) = -5.52

Record 7
# Hf2AlCrH | Alexandria | PBE-GGA | optimized geometry
data_Hf2AlCrH
_space_group_name_H-M_alt 'P 1'
_space_group_IT_number 1
_space_group_name_Hall 'P 1'
_cell_length_a 4.5483
_cell_length_b 4.5483
_cell_length_c 3.4859
_cell_angle_alpha 90.00
_cell_angle_beta 90.00
_cell_angle_gamma 90.00
loop_
_atom_site_label
_atom_site_fract_x
_atom_site_fract_y
_atom_site_fract_z
Cr1 0.0000 0.0000 0.5000
Hf1 0.0000 0.5000 0.0000
Hf2 0.5000 0.0000 0.0000
Al1 0.5000 0.5000 0.5000
H1 0.0000 0.0000 0.0000
# - symmetry = P4/mmm, No. 123
# - spin magnetization (μB per cell) = 0.0
# - uncorrected energy (eV/atom) = -7.54

Record 8
# AlCrHIr2 | Alexandria | PBE-GGA | optimized geometry
data_AlCrHIr2
_space_group_name_H-M_alt 'P 1'
_space_group_IT_number 1
_space_group_name_Hall 'P 1'
_cell_length_a 4.0064
_cell_length_b 4.0064
_cell_length_c 3.6691
_cell_angle_alpha 90.00
_cell_angle_beta 90.00
_cell_angle_gamma 90.00
loop_
_atom_site_label
_atom_site_fract_x
_atom_site_fract_y
_atom_site_fract_z
Cr1 0.0000 0.0000 0.5000
Ir1 0.0000 0.5000 0.0000
Ir2 0.5000 0.0000 0.0000
Al1 0.5000 0.5000 0.5000
H1 0.0000 0.0000 0.0000
# - symmetry = P4/mmm, No. 123
# - spin magnetization (μB per cell) = 3.1
# - uncorrected energy (eV/atom) = -7.17